Record 1
Material: Li3Nd2Cd3
Method: DFT, PBE-GGA
State: optimized geometry

```
Li3Nd2Cd3
1.0
8.862 0.000 0.000
-4.431 7.675 0.000
0.000 0.000 6.467
Li Nd Cd
6 4 6
Direct
0.000 0.279 0.250
0.000 0.721 0.750
0.279 0.000 0.250
0.279 0.279 0.750
0.721 0.000 0.750
0.721 0.721 0.250
0.333 0.667 0.000
0.333 0.667 0.500
0.667 0.333 0.000
0.667 0.333 0.500
0.000 0.360 0.750
0.000 0.640 0.250
0.360 0.000 0.750
0.360 0.360 0.250
0.640 0.000 0.250
0.640 0.640 0.750
```

Output
N(E_F)   0.767 states/eV/atom
Space group   P6_3/mcm, No. 193
DFT formation energy   -102 meV/atom
Crystal system   hexagonal
Calculated total energy   -2.36 eV/atom
Size of the total moment   0.00 Bohr magnetons per cell

Record 2
Material: IrRh2
Method: DFT, PBE-GGA
State: optimized geometry

```
IrRh2
1.0
0.000 3.558 3.558
3.558 0.000 3.558
3.558 3.558 0.000
Ir Rh
2 4
Direct
0.125 0.125 0.125
0.875 0.875 0.875
0.000 0.500 0.500
0.500 0.000 0.500
0.500 0.500 0.000
0.500 0.500 0.500
```

Output
N(E_F)   1.804 states/eV/atom
Space group   Fd-3m, No. 227
DFT formation energy   574 meV/atom
Crystal system   cubic
Calculated total energy   -7.28 eV/atom
Size of the total moment   0.01 Bohr magnetons per cell

Record 3
Material: TiNi2AgTe
Method: DFT, PBE-GGA
State: optimized geometry

```
TiNi2AgTe
1.0
4.434 0.000 0.000
0.000 4.434 0.000
0.000 0.000 5.119
Ti Ni Ag Te
1 2 1 1
Direct
0.000 0.000 0.000
0.000 0.500 0.000
0.500 0.000 0.000
0.000 0.000 0.500
0.500 0.500 0.500
```

Output
N(E_F)   0.974 states/eV/atom
Space group   P4/mmm, No. 123
Crystal system   tetragonal
Calculated total energy   -4.19 eV/atom
ΔE_f (raw)   0.90 eV per atom
Size of the total moment   0.58 Bohr magnetons per cell

Record 4
Material: SrTbMgTl
Method: DFT, PBE-GGA
State: optimized geometry

```
SrTbMgTl
1.0
0.000 3.945 3.945
3.945 0.000 3.945
3.945 3.945 0.000
Sr Tb Mg Tl
1 1 1 1
Direct
0.000 0.000 0.000
0.500 0.500 0.500
0.250 0.250 0.250
0.750 0.750 0.750
```

Output
N(E_F)   0.619 states/eV/atom
Space group   F-43m, No. 216
DFT formation energy   -194 meV/atom
Crystal system   cubic
Calculated total energy   -2.76 eV/atom
Size of the total moment   0.00 Bohr magnetons per cell

Record 5
Material: ScCdAs2Br
Method: DFT, PBE-GGA
State: optimized geometry

```
ScCdAs2Br
1.0
5.172 0.000 0.000
0.000 5.172 0.000
0.000 0.000 5.159
Sc Cd As Br
1 1 2 1
Direct
0.000 0.000 0.000
0.500 0.500 0.000
0.000 0.500 0.500
0.500 0.000 0.500
0.500 0.500 0.500
```

Output
N(E_F)   0.538 states/eV/atom
Space group   P4/mmm, No. 123
Crystal system   tetragonal
Calculated total energy   -2.97 eV/atom
ΔE_f (raw)   0.67 eV per atom
Size of the total moment   0.13 Bohr magnetons per cell

Record 6
Material: Li2PmGaO4
Method: DFT, PBE-GGA
State: optimized geometry

```
Li2PmGaO4
1.0
-2.619 2.619 3.318
2.619 -2.619 3.318
2.619 2.619 -3.318
Li Pm Ga O
2 1 1 4
Direct
0.250 0.750 0.500
0.750 0.250 0.500
0.000 0.000 0.000
0.500 0.500 0.000
0.134 0.134 0.575
0.441 0.866 0.000
0.559 0.559 0.425
0.866 0.441 0.000
```

Output
N(E_F)   0.000 states/eV/atom
Space group   I-42m, No. 121
Crystal system   tetragonal
Calculated total energy   -6.32 eV/atom
ΔE_f (raw)   -2.39 eV per atom
Size of the total moment   0.00 Bohr magnetons per cell

Record 7
Material: Tb2PmCu2
Method: DFT, PBE-GGA
State: optimized geometry

```
Tb2PmCu2
1.0
3.554 0.000 0.000
0.000 5.143 0.000
-1.775 0.000 13.073
Tb Pm Cu
4 2 4
Direct
0.047 0.250 0.094
0.231 0.250 0.461
0.769 0.750 0.539
0.953 0.750 0.906
0.140 0.750 0.282
0.860 0.250 0.718
0.360 0.750 0.719
0.457 0.250 0.913
0.543 0.750 0.087
0.640 0.250 0.281
```

Output
N(E_F)   0.849 states/eV/atom
Space group   P2_1/m, No. 11
DFT formation energy   -136 meV/atom
Crystal system   monoclinic
Calculated total energy   -4.58 eV/atom
Size of the total moment   0.00 Bohr magnetons per cell

Record 8
Material: PmNd12Tm5
Method: DFT, PBE-GGA
State: optimized geometry

```
PmNd12Tm5
1.0
7.665 -7.709 0.000
7.665 7.709 0.000
0.000 0.000 5.140
Pm Nd Tm
1 12 5
Direct
0.000 0.000 0.000
0.002 0.667 0.000
0.166 0.166 0.500
0.169 0.502 0.500
0.333 0.998 0.000
0.337 0.337 0.000
0.498 0.831 0.500
0.502 0.169 0.500
0.663 0.663 0.000
0.667 0.002 0.000
0.831 0.498 0.500
0.834 0.834 0.500
0.998 0.333 0.000
0.168 0.832 0.500
0.333 0.667 0.000
0.500 0.500 0.500
0.667 0.333 0.000
0.832 0.168 0.500
```

Output
N(E_F)   1.550 states/eV/atom
Space group   Cmmm, No. 65
DFT formation energy   23 meV/atom
Crystal system   orthorhombic
Calculated total energy   -4.66 eV/atom
Size of the total moment   0.00 Bohr magnetons per cell